Entry 1:
First-principles (PBE) data for crystalline BaNiSe2 at its relaxed geometry, as listed in the Alexandria database.

Values from the calculation:
As for the total energy: -4.3586 eV/atom.

a b c (Å): 7.841 7.841 7.841
angles (deg): 38.59 38.59 38.59
Atoms (fractional coordinates):
1 Ni 0.000 0.000 0.000
2 Se 0.101 0.101 0.101
3 Se 0.899 0.899 0.899
4 Ba 0.500 0.500 0.500


Entry 2:
First-principles (PBE) data for crystalline LiMg3 at its relaxed geometry, as listed in the Alexandria database.

Values from the calculation:
As for the total energy: -1.6994 eV/atom. The calculation puts the energy relative to the elements at -25 meV per atom.

a b c (Å): 5.314 10.142 6.521
angles (deg): 90.00 90.00 90.00
Atoms (fractional coordinates):
1 Mg 0.749 0.001 0.125
2 Mg 0.891 0.250 0.878
3 Mg 0.751 0.999 0.625
4 Mg 0.249 0.001 0.375
5 Mg 0.609 0.750 0.378
6 Mg 0.109 0.750 0.122
7 Mg 0.749 0.499 0.125
8 Mg 0.251 0.501 0.875
9 Mg 0.251 0.999 0.875
10 Mg 0.751 0.501 0.625
11 Mg 0.391 0.250 0.622
12 Mg 0.249 0.499 0.375
13 Li 0.119 0.750 0.626
14 Li 0.619 0.750 0.874
15 Li 0.881 0.250 0.374
16 Li 0.381 0.250 0.126


Entry 3:
First-principles (PBE) data for crystalline Hf5Sn4 at its relaxed geometry, as listed in the Alexandria database.

Values from the calculation:
For the energy above the most stable polymorph in this dataset, the calculation gives 1.93 eV/f.u. As for the total energy: -7.4969 eV/atom. The calculation puts the energy relative to the elements at -188 meV per atom.

a b c (Å): 4.463 7.155 7.155
angles (deg): 84.42 71.83 71.83
Atoms (fractional coordinates):
1 Hf 0.000 0.000 0.000
2 Hf 0.670 0.660 0.000
3 Hf 0.330 0.000 0.340
4 Hf 0.330 0.340 0.000
5 Hf 0.670 0.000 0.660
6 Sn 0.308 0.692 0.692
7 Sn 0.692 0.308 0.308
8 Sn 0.000 0.308 0.692
9 Sn 0.000 0.692 0.308


Entry 4:
First-principles (PBE) data for crystalline Pm6InRu at its relaxed geometry, as listed in the Alexandria database.

Values from the calculation:
For the energy above the most stable polymorph in this dataset, the calculation gives 0.25 eV/f.u. As for the total energy: -5.1212 eV/atom. The calculation puts the energy relative to the elements at -57 meV per atom.

a b c (Å): 6.510 8.191 6.551
angles (deg): 51.31 80.30 74.36
Atoms (fractional coordinates):
1 Pm 0.792 0.576 0.621
2 Pm 0.621 0.789 0.000
3 Pm 0.792 0.197 0.379
4 Pm 0.208 0.803 0.621
5 Pm 0.379 0.211 0.000
6 Pm 0.208 0.424 0.379
7 Ru 0.500 0.500 0.000
8 In 0.000 0.000 0.000


| no. | total magnetic moment (μB per atom) |
| --- | --- |
| 1 | 0.500 |
| 2 | 0.000 |
| 3 | 0.000 |
| 4 | 0.000 |